Record 1
First-principles (GGA-PBE) data for a relaxed structure of Rb2UGaO6, as listed in Alexandria.

Cell lengths 5.8894, 5.8894, 5.8894 Å; angles 120.08, 120.08, 89.87 degrees
Closest atoms and distances in Å follow each position.
Fractional positions:
1 Rb 0.2500 0.7500 0.5000  12 O 2.94
2 Rb 0.7500 0.2500 0.5000  12 O 2.94
3 U 0.0000 0.0000 0.0000  6 O 2.09-2.10
4 Ga 0.5000 0.5000 0.0000  6 O 2.06-2.08
5 O 0.2505 0.2505 0.0000  1 Ga 2.08, 1 U 2.09
6 O 0.2525 0.2525 0.5050  1 Ga 2.06, 1 U 2.10
7 O 0.2525 0.7475 0.0000  1 Ga 2.06, 1 U 2.10
8 O 0.7475 0.2525 0.0000  1 Ga 2.06, 1 U 2.10
9 O 0.7475 0.7475 0.4950  1 Ga 2.06, 1 U 2.10
10 O 0.7495 0.7495 0.0000  1 Ga 2.08, 1 U 2.09

Results
Spin magnetization ... 1.10 μB per formula unit
Energy relative to the elements, uncorrected ... -2.13 eV/atom
ρ ... 6.61 g/cm³

---

Record 2
First-principles (GGA-PBE) data for a relaxed structure of RbUGaO6, as listed in Alexandria.

Cell lengths 5.3963, 5.3963, 6.4214 Å; angles 90.00, 90.00, 120.00 degrees
Closest atoms and distances in Å follow each position.
Fractional positions:
1 Rb 0.0000 0.0000 0.0000  6 O 2.92
2 U 0.3333 0.6667 0.5000  6 O 2.04
3 Ga 0.6667 0.3333 0.5000  6 O 2.01
4 O 0.3794 0.0045 0.6735  1 Ga 2.01, 1 U 2.04
5 O 0.3794 0.3749 0.3265  1 Ga 2.01, 1 U 2.04
6 O 0.6251 0.0045 0.3265  1 Ga 2.01, 1 U 2.04
7 O 0.6251 0.6206 0.6735  1 Ga 2.01, 1 U 2.04
8 O 0.9955 0.3749 0.6735  1 Ga 2.01, 1 U 2.04
9 O 0.9955 0.6206 0.3265  1 Ga 2.01, 1 U 2.04

Results
Spin magnetization ... 2.10 μB per formula unit
Energy relative to the elements, uncorrected ... -1.93 eV/atom
ρ ... 5.02 g/cm³